[1]
LaPr2NdTh | GGA-PBE | relaxed

Output
**E_tot**: -5.1117 eV per atom
**Crystal system**: monoclinic
**Calculated formation energy**: 1.12 eV/f.u.

Cell lengths 6.517, 8.513, 6.741 Å; angles 90.00, 103.31, 90.00 degrees
Space group P2/c (No. 13)
One atom of each set of equivalent atoms:
La (0.000, 0.095, 0.250) (multiplicity 2)
Pr (0.217, 0.327, 0.663) (multiplicity 4)
Nd (0.500, 0.341, 0.250) (multiplicity 2)
Th (0.500, 0.000, 0.000) (multiplicity 2)

=====

[2]
La2Pr6NdTh | GGA-PBE | relaxed

Output
**E_tot**: -4.9386 eV per atom
**Crystal system**: monoclinic
**Calculated formation energy**: 1.33 eV/f.u.

Cell lengths 9.345, 15.279, 10.280 Å; angles 90.00, 100.98, 90.00 degrees
Space group C2/c (No. 15)
One atom of each set of equivalent atoms:
La (0.231, 0.045, 0.043) (multiplicity 8)
Pr (0.075, 0.184, 0.444) (multiplicity 8)
Pr (0.096, 0.398, 0.619) (multiplicity 8)
Pr (0.200, 0.217, 0.811) (multiplicity 8)
Nd (0.000, 0.404, 0.250) (multiplicity 4)
Th (0.000, 0.012, 0.750) (multiplicity 4)

=====

[3]
LaPrNd2Th | GGA-PBE | relaxed

Output
**E_tot**: -5.0607 eV per atom
**Crystal system**: monoclinic
**Calculated formation energy**: 1.36 eV/f.u.

Cell lengths 8.720, 6.602, 6.532 Å; angles 90.00, 100.26, 90.00 degrees
Space group P2/c (No. 13)
One atom of each set of equivalent atoms:
La (0.000, 0.000, 0.000) (multiplicity 2)
Pr (0.500, 0.163, 0.250) (multiplicity 2)
Nd (0.313, 0.325, 0.685) (multiplicity 4)
Th (0.000, 0.451, 0.250) (multiplicity 2)

=====

[4]
La2Pr4NdTh | GGA-PBE | relaxed

Output
**E_tot**: -5.1138 eV per atom
**Crystal system**: monoclinic
**Calculated formation energy**: 0.25 eV/f.u.

Cell lengths 6.418, 3.688, 12.262 Å; angles 90.00, 99.91, 90.00 degrees
Space group P2/m (No. 10)
One atom of each set of equivalent atoms:
La (0.000, 0.000, 0.000) (multiplicity 1)
La (0.000, 0.500, 0.500) (multiplicity 1)
Pr (0.254, 0.000, 0.748) (multiplicity 2)
Pr (0.258, 0.500, 0.257) (multiplicity 2)
Nd (0.500, 0.500, 0.000) (multiplicity 1)
Th (0.500, 0.000, 0.500) (multiplicity 1)

=====

[5]
La5Pr2NdTh | GGA-PBE | relaxed

Output
**E_tot**: -4.8929 eV per atom
**Crystal system**: tetragonal
**Calculated formation energy**: 2.35 eV/f.u.

Cell lengths 9.003, 9.003, 16.130 Å; angles 90.00, 90.00, 90.00 degrees
Space group I4/mcm (No. 140)
One atom of each set of equivalent atoms:
La (0.000, 0.000, 0.000) (multiplicity 4)
La (0.204, 0.296, 0.141) (multiplicity 16)
Pr (0.119, 0.381, 0.500) (multiplicity 8)
Nd (0.000, 0.000, 0.250) (multiplicity 4)
Th (0.000, 0.500, 0.250) (multiplicity 4)

=====

[6]
La4PrNd2Th | GGA-PBE | relaxed

Output
**E_tot**: -5.1499 eV per atom
**Crystal system**: monoclinic
**Calculated formation energy**: 0.25 eV/f.u.

Cell lengths 6.396, 3.679, 12.286 Å; angles 90.00, 99.84, 90.00 degrees
Space group P2/m (No. 10)
One atom of each set of equivalent atoms:
La (0.242, 0.000, 0.243) (multiplicity 2)
La (0.246, 0.500, 0.753) (multiplicity 2)
Pr (0.000, 0.000, 0.500) (multiplicity 1)
Nd (0.500, 0.000, 0.000) (multiplicity 1)
Nd (0.500, 0.500, 0.500) (multiplicity 1)
Th (0.000, 0.500, 0.000) (multiplicity 1)

=====

[7]
La6PrNdTh2 | GGA-PBE | relaxed

Output
**E_tot**: -5.2666 eV per atom
**Crystal system**: monoclinic
**Calculated formation energy**: 1.29 eV/f.u.

Cell lengths 9.120, 15.107, 10.795 Å; angles 90.00, 104.59, 90.00 degrees
Space group C2/c (No. 15)
One atom of each set of equivalent atoms:
La (0.078, 0.181, 0.457) (multiplicity 8)
La (0.089, 0.402, 0.617) (multiplicity 8)
La (0.213, 0.226, 0.833) (multiplicity 8)
Pr (0.000, 0.009, 0.750) (multiplicity 4)
Nd (0.000, 0.401, 0.250) (multiplicity 4)
Th (0.221, 0.041, 0.043) (multiplicity 8)

=====

[8]
LaPr2Nd4Th | GGA-PBE | relaxed

Output
**E_tot**: -5.0884 eV per atom
**Crystal system**: monoclinic
**Calculated formation energy**: 0.27 eV/f.u.

Cell lengths 6.379, 3.683, 12.226 Å; angles 90.00, 100.14, 90.00 degrees
Space group P2/m (No. 10)
One atom of each set of equivalent atoms:
La (0.000, 0.000, 0.000) (multiplicity 1)
Pr (0.500, 0.000, 0.500) (multiplicity 1)
Pr (0.500, 0.500, 0.000) (multiplicity 1)
Nd (0.242, 0.000, 0.743) (multiplicity 2)
Nd (0.246, 0.500, 0.253) (multiplicity 2)
Th (0.000, 0.500, 0.500) (multiplicity 1)

=====

[9]
La2PrNdTh | GGA-PBE | relaxed

Output
**E_tot**: -5.3020 eV per atom
**Crystal system**: monoclinic
**Calculated formation energy**: 0.31 eV/f.u.

Cell lengths 6.414, 6.010, 9.818 Å; angles 90.00, 108.70, 90.00 degrees
Space group P2_1/m (No. 11)
One atom of each set of equivalent atoms:
La (0.072, 0.250, 0.320) (multiplicity 2)
La (0.132, 0.750, 0.106) (multiplicity 2)
Pr (0.264, 0.250, 0.695) (multiplicity 2)
Nd (0.474, 0.250, 0.108) (multiplicity 2)
Th (0.355, 0.750, 0.499) (multiplicity 2)

=====

[10]
La2Pr7NdTl2 | GGA-PBE | relaxed

Output
**E_tot**: -4.4406 eV per atom
**Crystal system**: orthorhombic
**Calculated formation energy**: -0.48 eV/f.u.

Cell lengths 7.073, 10.355, 11.480 Å; angles 90.00, 90.00, 90.00 degrees
Space group Cmmm (No. 65)
One atom of each set of equivalent atoms:
La (0.000, 0.000, 0.149) (multiplicity 4)
Pr (0.000, 0.000, 0.500) (multiplicity 2)
Pr (0.000, 0.312, 0.000) (multiplicity 4)
Pr (0.250, 0.250, 0.331) (multiplicity 8)
Nd (0.000, 0.500, 0.500) (multiplicity 2)
Tl (0.000, 0.500, 0.223) (multiplicity 4)

=====

[11]
LaPr2NdTl | GGA-PBE | relaxed

Output
**E_tot**: -4.2620 eV per atom
**Crystal system**: orthorhombic
**Calculated formation energy**: 0.31 eV/f.u.

Cell lengths 6.802, 15.370, 6.875 Å; angles 90.00, 90.00, 90.00 degrees
Space group Cmcm (No. 63)
One atom of each set of equivalent atoms:
La (0.000, 0.247, 0.250) (multiplicity 4)
Pr (0.243, 0.000, 0.000) (multiplicity 8)
Nd (0.000, 0.345, 0.750) (multiplicity 4)
Tl (0.000, 0.148, 0.750) (multiplicity 4)

=====

[12]
LaPrNd2Tl4 | GGA-PBE | relaxed

Output
**E_tot**: -3.9853 eV per atom
**Crystal system**: trigonal
**Calculated formation energy**: -3.17 eV/f.u.

Cell lengths 5.5638, 5.5638, 27.2667 Å; angles 90.00, 90.00, 120.00 degrees
Space group R-3m (No. 166, hexagonal axes)
One atom of each set of equivalent atoms:
La (0.0000, 0.0000, 0.0000) (multiplicity 3)
Pr (0.0000, 0.0000, 0.5000) (multiplicity 3)
Nd (0.0000, 0.0000, 0.2499) (multiplicity 6)
Tl (0.0000, 0.0000, 0.1256) (multiplicity 6)
Tl (0.0000, 0.0000, 0.3755) (multiplicity 6)